Entry 1:
## ReIrN2 (GGA-PBE)

Data for ReIrN2 after structural relaxation.

For the electronic total energy, the calculation gives -129.09 eV for the cell shown. The calculation puts the magnetization at 0.0 μB/cell. The calculation puts the uncorrected formation energy at 1.42 eV per atom. Its calculated volume is 162.8 Å³/cell.

The space group is Fm-3m (No. 225) and the conventional cell measures 5.460, 5.460 and 5.460 Å, with angles of 90.00, 90.00 and 90.00 degrees. The inequivalent atoms are Re at (0.000, 0.000, 0.000), Ir at (0.000, 0.000, 0.500) and N at (0.250, 0.250, 0.250).

Entry 2:
## ReIrN2 (GGA-PBE)

Data for ReIrN2 after structural relaxation.

For the electronic total energy, the calculation gives -111.31 eV for the cell shown. The calculation puts the magnetization at 0.3 μB/cell. The calculation puts the uncorrected formation energy at 0.21 eV per atom. Its calculated volume is 134.3 Å³/cell.

The space group is R-3m (No. 166, hexagonal axes) and the conventional cell measures 2.7977, 2.7977 and 19.8079 Å, with angles of 90.00, 90.00 and 120.00 degrees. The inequivalent atoms are Re at (0.0000, 0.0000, 0.0000), Ir at (0.0000, 0.0000, 0.5000) and N at (0.0000, 0.0000, 0.3999).

Entry 3:
## ReIrN (GGA-PBE)

Data for ReIrN after structural relaxation.

For the electronic total energy, the calculation gives -114.73 eV for the cell shown. The calculation puts the magnetization at 0.0 μB/cell. The calculation puts the uncorrected formation energy at 0.32 eV per atom. Its calculated volume is 206.2 Å³/cell.

The space group is Cmcm (No. 63) and the conventional cell measures 2.856, 18.517 and 3.898 Å, with angles of 90.00, 90.00 and 90.00 degrees. The inequivalent atoms are Re at (0.000, 0.143, 0.250), Ir at (0.000, 0.289, 0.250) and N at (0.000, 0.421, 0.750).